1.
The following is a DFT calculation (PBE) of crystalline Be2TcW at its relaxed geometry.

energy above the most stable polymorph in this dataset = 272 meV/atom
energy of formation = 0.051 eV/atom

Cell lengths 4.6143, 4.6143, 4.6143 Å; angles 134.84, 134.84, 65.78 degrees
Fractional positions:
Be 0.2500 0.7500 0.5000
W 0.7500 0.2500 0.5000
Be 0.0000 0.0000 0.0000
Tc 0.5000 0.5000 0.0000

=====

2.
The following is a DFT calculation (PBE) of crystalline Re3GeOs at its relaxed geometry.

energy above the most stable polymorph in this dataset = 0 meV/atom
energy of formation = 2.018 eV/atom

Cell lengths 4.4462, 4.4462, 4.4462 Å; angles 90.00, 90.00, 90.00 degrees
Fractional positions:
Os 0.5000 0.5000 0.5000
Ge 0.0000 0.0000 0.0000
Re 0.5000 0.0000 0.0000
Re 0.0000 0.0000 0.5000
Re 0.0000 0.5000 0.0000

=====

3.
The following is a DFT calculation (PBE) of crystalline Pr2DyMg6 at its relaxed geometry.

energy of formation = -0.092 eV/atom

Cell lengths 9.1895, 9.1895, 3.3446 Å; angles 90.00, 90.00, 120.00 degrees
Fractional positions:
Mg 0.0000 0.3293 0.5000
Mg 0.0000 0.6707 0.5000
Pr 0.3333 0.6667 0.0000
Mg 0.6707 0.0000 0.5000
Dy 0.0000 0.0000 0.0000
Pr 0.6667 0.3333 0.0000
Mg 0.3293 0.3293 0.5000
Mg 0.6707 0.6707 0.5000
Mg 0.3293 0.0000 0.5000